[1]
The following is a DFT calculation (PBE) of LiLa2CdOs after structural relaxation.

Summary:
E_tot: -4.77 eV/atom
magnetic moment: 0.000 μB/f.u.
energy of formation: 0.02 eV/atom

Cell: 5.443 5.443 5.059 Å, 90.00 90.00 90.00°
Element x y z (fractional)
La1 0.500 0.000 0.000
La2 0.000 0.500 0.000
Cd1 0.500 0.500 0.500
Os1 0.000 0.000 0.000
Li1 0.000 0.000 0.500

=====

[2]
The following is a DFT calculation (PBE) of ThSnF6 after structural relaxation.

Summary:
uncorrected formation energy: -2725 meV per atom
E_tot: -5.56 eV/atom
magnetic moment: 0.000 μB/f.u.

Cell: 4.689 4.689 6.841 Å, 69.96 69.96 60.00°
Element x y z (fractional)
Sn1 0.000 0.000 0.000
F1 0.934 0.934 0.696
F2 0.934 0.437 0.696
F3 0.066 0.066 0.304
F4 0.437 0.934 0.696
F5 0.066 0.563 0.304
F6 0.563 0.066 0.304
Th1 0.500 0.500 0.500

=====

[3]
The following is a DFT calculation (PBE) of LuVOsRh after structural relaxation.

Summary:
E_tot: -8.36 eV/atom
magnetic moment: 0.697 μB/f.u.
energy of formation: -0.30 eV/atom

Cell: 4.501 4.501 4.501 Å, 60.00 60.00 60.00°
Last column: magnetic moment on the atom in μB.
Element x y z (fractional)
Lu1 0.250 0.250 0.250  -0.03
Os1 0.000 0.000 0.000  -0.10
V1 0.750 0.750 0.750  0.61
Rh1 0.500 0.500 0.500  0.15

=====

[4]
The following is a DFT calculation (PBE) of NaPmGeSb after structural relaxation.

Summary:
uncorrected formation energy: -368 meV per atom
E_tot: -4.07 eV/atom
magnetic moment: 0.000 μB/f.u.

Cell: 5.270 5.270 5.270 Å, 60.00 60.00 60.00°
Element x y z (fractional)
Sb1 0.750 0.750 0.750
Ge1 0.250 0.250 0.250
Pm1 0.000 0.000 0.000
Na1 0.500 0.500 0.500

=====

[5]
The following is a DFT calculation (PBE) of Pm2GaNi9 after structural relaxation.

Summary:
E_tot: -5.55 eV/atom
magnetic moment: 1.017 μB/f.u.
energy of formation: -0.17 eV/atom

Cell: 4.921 4.921 8.656 Å, 73.48 73.48 60.00°
Last column: magnetic moment on the atom in μB.
Element x y z (fractional)
Ni1 0.500 0.500 0.500  0.04
Ni2 0.420 0.420 0.241  0.12
Ni3 0.580 0.080 0.759  0.12
Ni4 0.667 0.667 0.999  0.22
Ni5 0.080 0.580 0.759  0.12
Ni6 0.333 0.333 0.001  0.22
Ni7 0.580 0.580 0.759  0.12
Ni8 0.420 0.920 0.241  0.12
Ni9 0.920 0.420 0.241  0.12
Pm1 0.134 0.134 0.597  -0.03
Pm2 0.866 0.866 0.403  -0.03
Ga1 0.000 0.000 0.000  -0.01

=====

[6]
The following is a DFT calculation (PBE) of Mn2CuNiSb after structural relaxation.

Summary:
uncorrected formation energy: 958 meV per atom
E_tot: -5.51 eV/atom
magnetic moment: 8.678 μB/f.u.

Cell: 4.574 4.708 4.574 Å, 90.00 90.00 90.00°
Last column: magnetic moment on the atom in μB.
Element x y z (fractional)
Ni1 0.500 0.500 0.500  0.42
Cu1 0.000 0.000 0.000  0.13
Mn1 0.000 0.000 0.500  3.94
Mn2 0.500 0.000 0.000  3.82
Sb1 0.000 0.500 0.000  0.01

=====

[7]
The following is a DFT calculation (PBE) of Pu2InBi4 after structural relaxation.

Summary:
E_tot: -6.91 eV/atom
magnetic moment: 10.613 μB/f.u.
energy of formation: -0.21 eV/atom

Cell: 4.599 4.599 10.317 Å, 90.00 90.00 90.00°
Last column: magnetic moment on the atom in μB.
Element x y z (fractional)
Pu1 0.500 0.000 0.745  -5.35
Pu2 0.000 0.500 0.255  -5.35
Bi1 0.500 0.500 0.500  0.07
Bi2 0.000 0.500 0.808  0.11
Bi3 0.500 0.000 0.192  0.11
Bi4 0.000 0.000 0.500  0.10
In1 0.500 0.500 0.000  0.00

=====

[8]
The following is a DFT calculation (PBE) of Er3Al3Cd after structural relaxation.

Summary:
E_tot: -4.06 eV/atom
magnetic moment: 0.000 μB/f.u.
energy of formation: -0.37 eV/atom

Cell: 4.522 5.933 13.631 Å, 83.06 80.45 67.60°
Element x y z (fractional)
Er1 0.471 0.681 0.377
Er2 0.602 0.717 0.078
Er3 0.529 0.319 0.623
Er4 0.398 0.283 0.922
Er5 0.265 0.254 0.216
Er6 0.735 0.746 0.784
Cd1 0.757 0.091 0.394
Cd2 0.243 0.909 0.606
Al1 0.974 0.823 0.228
Al2 0.878 0.695 0.550
Al3 0.110 0.852 0.927
Al4 0.026 0.177 0.772
Al5 0.890 0.148 0.073
Al6 0.122 0.305 0.450

=====

[9]
The following is a DFT calculation (PBE) of PmTlCuPt after structural relaxation.

Summary:
E_tot: -4.73 eV/atom
magnetic moment: 0.000 μB/f.u.
energy of formation: -0.41 eV/atom

Cell: 4.897 4.897 4.897 Å, 60.00 60.00 60.00°
Element x y z (fractional)
Tl1 0.500 0.500 0.500
Cu1 0.250 0.250 0.250
Pm1 0.000 0.000 0.000
Pt1 0.750 0.750 0.750